(1)
HfPaZn6 | PBE | optimized geometry

Cell: 5.3826 5.3826 7.8604 Å, 69.98 69.98 60.00°
Fractional coordinates of all 8 atoms:
Hf 0.0000 0.0000 0.0000
Pa 0.5000 0.5000 0.5000
Zn 0.0687 0.0687 0.3075
Zn 0.0687 0.5552 0.3075
Zn 0.4448 0.9313 0.6925
Zn 0.9313 0.4448 0.6925
Zn 0.9313 0.9313 0.6925
Zn 0.5552 0.0687 0.3075

Output
uncorrected energy = -2.911 eV per atom
crystal system = trigonal

***

(2)
PuCd3 | PBE | optimized geometry

Cell: 3.0088 5.4811 6.1896 Å, 98.69 90.00 105.93°
Site moments in Bohr magnetons follow the coordinates.
Fractional coordinates of all 4 atoms:
Pu 0.0000 0.0000 0.0000  -5.70
Cd 0.5000 0.0000 0.5000  0.00
Cd 0.7558 0.5115 0.2658  0.00
Cd 0.2442 0.4885 0.7342  0.00

Output
uncorrected energy = -4.273 eV per atom
crystal system = monoclinic

***

(3)
KZr2Re | PBE | optimized geometry

Cell: 11.0715 11.0715 11.0715 Å, 17.22 17.22 17.22°
Fractional coordinates of all 4 atoms:
K 0.7500 0.7500 0.7500
Re 0.2500 0.2500 0.2500
Zr 0.9770 0.9770 0.9770
Zr 0.5230 0.5230 0.5230

Output
relative energy among the computed polymorphs = 1.18 eV/f.u.
crystal system = trigonal

***

The following V values (in A^3/atom) correspond, in order, to the records above: 22.6, 24.2, 25.9.